## Re3MoF (PBE with a Hubbard U)

Data for a geometry-optimized Re3MoF structure.

Values from the calculation:
raw total energy: -7.821 eV/atom
calculated volume: 74 Å³ per cell
size of the total moment: 0.000 μB per atom
N(E_F): 2.73 states/eV per cell
calculated density: 15.19 g/cm³

```
data_Re3MoF
_cell_length_a 4.1913
_cell_length_b 4.1913
_cell_length_c 4.1913
_cell_angle_alpha 90.00
_cell_angle_beta 90.00
_cell_angle_gamma 90.00
_space_group_name_H-M_alt 'P m -3 m'
_space_group_IT_number 221
_space_group_name_Hall '-P 4 2 3'
loop_
_atom_site_label
_atom_site_fract_x
_atom_site_fract_y
_atom_site_fract_z
Re1 0.0000 0.0000 0.5000
Mo1 0.5000 0.5000 0.5000
F1 0.0000 0.0000 0.0000
```